ScBeInPt: relaxed, PBE.

Computed properties:
Total DFT energy (no corrections)   -5.108 eV per atom
Offset from the most stable computed form   8.20 kJ per mole of atoms
Calculated density   9.0 g cm⁻³

Unit cell a=4.5546 b=4.5546 c=4.5546 alpha=60.00 beta=60.00 gamma=60.00
Last column: nearest neighbours and their distance in Å.
Positions (direct):
Be: 0.7500 0.7500 0.7500  4 In 2.79, 4 Pt 2.79
In: 0.0000 0.0000 0.0000  4 Be 2.79, 4 Sc 2.79
Pt: 0.5000 0.5000 0.5000  4 Be 2.79, 4 Sc 2.79
Sc: 0.2500 0.2500 0.2500  4 Pt 2.79, 4 In 2.79

Sc2ZnCdIn2: relaxed, PBE.

Computed properties:
Total DFT energy (no corrections)   -3.616 eV per atom
Calculated density   5.9 g cm⁻³

Unit cell a=8.0187 b=4.6076 c=15.3259 alpha=90.00 beta=99.71 gamma=90.00
Last column: nearest neighbours and their distance in Å.
Positions (direct):
Cd: 0.2496 0.5000 0.2508  4 In 2.84-2.91, 4 Sc 2.86-2.91
Cd: 0.7522 0.0000 0.2522  4 In 2.85-2.90, 4 Sc 2.86-2.88
Cd: 0.7493 0.5000 0.7486  4 In 2.86-2.87, 4 Sc 2.88-2.89
Cd: 0.4990 0.5000 0.9972  4 In 2.86-2.87, 4 Sc 2.88-2.89
In: 0.0621 0.0000 0.1827  1 Zn 2.79, 3 Cd 2.85-2.86
In: 0.5622 0.5000 0.1871  4 Cd 2.84-2.87
In: 0.3134 0.5000 0.4434  3 Zn 2.81, 1 Cd 2.91
In: 0.8158 0.0000 0.4445  3 Zn 2.81-2.83, 1 Cd 2.90
In: 0.5532 0.0000 0.6846  2 Zn 2.75-2.78, 2 Cd 2.87
In: 0.0668 0.5000 0.6852  3 Zn 2.74-2.80, 1 Cd 2.87
In: 0.3047 0.0000 0.9322  2 Zn 2.79-2.80, 2 Cd 2.86, 1 Sc 3.12
In: 0.8201 0.5000 0.9378  2 Zn 2.79, 2 Cd 2.86-2.87
Sc: 0.1778 0.5000 0.0583  2 Zn 2.78, 2 Cd 2.89-2.91
Sc: 0.6981 0.0000 0.0613  1 Zn 2.77, 3 Cd 2.88
Sc: 0.4408 0.0000 0.3207  1 Zn 2.75, 3 Cd 2.87
Sc: 0.9409 0.5000 0.3212  1 Zn 2.76, 3 Cd 2.86
Sc: 0.6845 0.5000 0.5583  3 Zn 2.79-2.81, 1 Cd 2.88
Sc: 0.1878 0.0000 0.5629  4 Zn 2.78-2.81
Sc: 0.4239 0.5000 0.8060  2 Zn 2.77, 2 Cd 2.89
Sc: 0.9480 0.0000 0.8138  2 Zn 2.76-2.78, 2 Cd 2.88
Zn: 0.4996 0.0000 0.5028  4 In 2.75-2.83, 4 Sc 2.75-2.81
Zn: 0.0017 0.5000 0.5037  4 In 2.74-2.81, 4 Sc 2.76-2.81
Zn: 0.2474 0.0000 0.7470  4 Sc 2.76-2.78, 4 In 2.78-2.80
Zn: 0.0012 0.0000 0.9978  4 Sc 2.77-2.78, 4 In 2.79